DFT (PBE with a Hubbard U) results for NpNiIO6 after structural relaxation.

Structure (CIF):
```
data_NpNiIO6
_space_group_name_H-M_alt 'P 1'
_space_group_IT_number 1
_cell_length_a 5.567
_cell_length_b 5.567
_cell_length_c 8.882
_cell_angle_alpha 90.00
_cell_angle_beta 90.00
_cell_angle_gamma 120.00
loop_
_space_group_symop_operation_xyz
'x,y,z'
loop_
_atom_site_label
_atom_site_type_symbol
_atom_site_fract_x
_atom_site_fract_y
_atom_site_fract_z
Np1 Np 0.333 0.667 0.250
Np2 Np 0.667 0.333 0.750
Ni1 Ni 0.000 0.000 0.000
Ni2 Ni 0.000 0.000 0.500
I1 I 0.333 0.667 0.750
I2 I 0.667 0.333 0.250
O1 O 0.003 0.338 0.628
O2 O 0.003 0.665 0.872
O3 O 0.335 0.338 0.872
O4 O 0.335 0.997 0.628
O5 O 0.338 0.003 0.128
O6 O 0.338 0.335 0.372
O7 O 0.662 0.665 0.628
O8 O 0.662 0.997 0.872
O9 O 0.665 0.003 0.372
O10 O 0.665 0.662 0.128
O11 O 0.997 0.335 0.128
O12 O 0.997 0.662 0.372
```

Summary:
E_tot: -6.475 eV/atom